# Zn3Ru | the Alexandria database | SCAN | PBEsol geometry
data_Zn3Ru
_chemical_formula_sum 'Zn6 Ru2'
_space_group_name_H-M_alt 'P m m n'
_space_group_IT_number 59
_cell_length_a 4.209
_cell_length_b 5.170
_cell_length_c 4.865
_cell_angle_alpha 90.00
_cell_angle_beta 90.00
_cell_angle_gamma 90.00
loop_
_space_group_symop_operation_xyz
'x,y,z'
'-x,-y,-z'
'-x+1/2,-y+1/2,z'
'x+1/2,y+1/2,-z'
'x+1/2,-y,-z'
'-x+1/2,y,z'
'-x,y+1/2,-z'
'x,-y+1/2,z'
loop_
_atom_site_label
_atom_site_type_symbol
_atom_site_fract_x
_atom_site_fract_y
_atom_site_fract_z
Zn1 Zn 0.250 0.001 0.155
Zn2 Zn 0.250 0.750 0.661
Ru1 Ru 0.250 0.250 0.646
# Energy of formation from the pure elements   -0.5 eV/f.u.
# Magnetization   0.0 Bohr magnetons per cell


# Zn2Ru | the Alexandria database | SCAN | PBEsol geometry
data_Zn2Ru
_chemical_formula_sum 'Zn16 Ru8'
_space_group_name_H-M_alt 'I 41/a m d'
_space_group_IT_number 141
_cell_length_a 3.737
_cell_length_b 3.737
_cell_length_c 22.791
_cell_angle_alpha 90.00
_cell_angle_beta 90.00
_cell_angle_gamma 90.00
loop_
_space_group_symop_operation_xyz
'x,y,z'
'-x,-y,-z'
'-y+1/4,x+3/4,z+1/4'
'y+1/4,-x+3/4,-z+1/4'
'-x+1/2,-y,z+1/2'
'x+1/2,y,-z+1/2'
'y+1/4,-x+1/4,z+3/4'
'-y+1/4,x+1/4,-z+3/4'
'x,-y,-z'
'-x,y,z'
'-y+1/4,-x+1/4,-z+3/4'
'y+1/4,x+1/4,z+3/4'
'-x+1/2,y,-z+1/2'
'x+1/2,-y,z+1/2'
'y+1/4,x+3/4,-z+1/4'
'-y+1/4,-x+3/4,z+1/4'
'x+1/2,y+1/2,z+1/2'
'-x+1/2,-y+1/2,-z+1/2'
'-y+3/4,x+1/4,z+3/4'
'y+3/4,-x+1/4,-z+3/4'
'-x,-y+1/2,z'
'x,y+1/2,-z'
'y+3/4,-x+3/4,z+1/4'
'-y+3/4,x+3/4,-z+1/4'
'x+1/2,-y+1/2,-z+1/2'
'-x+1/2,y+1/2,z+1/2'
'-y+3/4,-x+3/4,-z+1/4'
'y+3/4,x+3/4,z+1/4'
'-x,y+1/2,-z'
'x,-y+1/2,z'
'y+3/4,x+1/4,-z+3/4'
'-y+3/4,-x+1/4,z+3/4'
loop_
_atom_site_label
_atom_site_type_symbol
_atom_site_fract_x
_atom_site_fract_y
_atom_site_fract_z
Zn1 Zn 0.000 0.250 0.125
Zn2 Zn 0.000 0.250 0.288
Ru1 Ru 0.000 0.250 0.797
# Energy of formation from the pure elements   -0.2 eV/f.u.
# Magnetization   7.2 Bohr magnetons per cell


# Zn2Ru | the Alexandria database | SCAN | PBEsol geometry
data_Zn2Ru
_chemical_formula_sum 'Zn8 Ru4'
_space_group_name_H-M_alt 'C 1 m 1'
_space_group_IT_number 8
_space_group_name_Hall 'C -2y'
_cell_length_a 9.648
_cell_length_b 2.757
_cell_length_c 6.227
_cell_angle_alpha 90.00
_cell_angle_beta 104.30
_cell_angle_gamma 90.00
loop_
_atom_site_label
_atom_site_type_symbol
_atom_site_fract_x
_atom_site_fract_y
_atom_site_fract_z
Zn1 Zn 0.000 0.000 0.000
Zn2 Zn 0.046 0.000 0.604
Zn3 Zn 0.221 0.500 0.943
Zn4 Zn 0.388 0.000 0.275
Ru1 Ru 0.168 0.500 0.337
Ru2 Ru 0.325 0.000 0.662
# Energy of formation from the pure elements   -0.1 eV/f.u.
# Magnetization   0.1 Bohr magnetons per cell


# ZnRu | the Alexandria database | SCAN | PBEsol geometry
data_ZnRu
_chemical_formula_sum 'Zn2 Ru2'
_space_group_name_H-M_alt 'P -3 m 1'
_space_group_IT_number 164
_space_group_name_Hall '-P 3 2"'
_cell_length_a 2.7082
_cell_length_b 2.7082
_cell_length_c 8.5579
_cell_angle_alpha 90.00
_cell_angle_beta 90.00
_cell_angle_gamma 120.00
loop_
_atom_site_label
_atom_site_type_symbol
_atom_site_fract_x
_atom_site_fract_y
_atom_site_fract_z
Zn1 Zn 0.3333 0.6667 0.3711
Ru1 Ru 0.3333 0.6667 0.8822
# Energy of formation from the pure elements   0.0 eV/f.u.
# Magnetization   0.0 Bohr magnetons per cell


| no. | electronic total energy (eV per atom) |
| --- | --- |
| 1 | -18.965 |
| 2 | -20.688 |
| 3 | -20.669 |
| 4 | -24.174 |